P | Below is a PBEsol-optimized structure of CuRe2Br, with properties calculated at the SCAN level.

Values from the calculation:
Total magnetization, μB per formula unit: 0.00
DOS at the Fermi energy, states/eV per cell: 3.2
Calculated volume, Å³/cell: 59

Unit cell a=8.583 b=8.583 c=8.583 alpha=19.06 beta=19.06 gamma=19.06
Atoms (fractional coordinates):
Cu  0.000  0.000  0.000
Re  0.252  0.252  0.252
Re  0.748  0.748  0.748
Br  0.500  0.500  0.500


Q | Below is a PBEsol-optimized structure of CuRe2Br, with properties calculated at the SCAN level.

Values from the calculation:
Total magnetization, μB per formula unit: 0.00
DOS at the Fermi energy, states/eV per cell: 1.9
Calculated volume, Å³/cell: 59

Unit cell a=4.540 b=4.540 c=4.540 alpha=125.79 beta=125.79 gamma=80.24
Atoms (fractional coordinates):
Cu  0.000  0.000  0.000
Re  0.500  0.500  0.000
Re  0.750  0.250  0.500
Br  0.250  0.750  0.500


The structure with the least stability is Q.


P | Below is a PBEsol-optimized structure of Cu2ReBr, with properties calculated at the SCAN level.

Values from the calculation:
Total magnetization, μB per formula unit: 0.74
DOS at the Fermi energy, states/eV per cell: 3.6
Calculated volume, Å³/cell: 58

Unit cell a=4.488 b=4.488 c=2.894 alpha=90.00 beta=90.00 gamma=90.00
Atoms (fractional coordinates):
Cu  0.000  0.500  0.000
Cu  0.500  0.000  0.000
Re  0.000  0.000  0.500
Br  0.500  0.500  0.500


Q | Below is a PBEsol-optimized structure of Cu2ReBr, with properties calculated at the SCAN level.

Values from the calculation:
Total magnetization, μB per formula unit: 0.00
DOS at the Fermi energy, states/eV per cell: 2.9
Calculated volume, Å³/cell: 57

Unit cell a=5.200 b=5.200 c=4.492 alpha=115.21 beta=115.21 gamma=31.83
Atoms (fractional coordinates):
Cu  0.249  0.249  0.248
Cu  0.751  0.751  0.752
Re  0.500  0.500  0.000
Br  0.000  0.000  0.500


The structure with the least stability is P.


P | Below is a PBEsol-optimized structure of Cu2SbBr, with properties calculated at the SCAN level.

Values from the calculation:
Total magnetization, μB per formula unit: 0.00
DOS at the Fermi energy, states/eV per cell: 1.0
Calculated volume, Å³/cell: 73

Unit cell a=3.235 b=3.235 c=6.998 alpha=90.00 beta=90.00 gamma=90.00
Atoms (fractional coordinates):
Cu  0.000  0.000  0.241
Cu  0.000  0.000  0.759
Sb  0.500  0.500  0.000
Br  0.500  0.500  0.500


Q | Below is a PBEsol-optimized structure of Cu2SbBr, with properties calculated at the SCAN level.

Values from the calculation:
Total magnetization, μB per formula unit: 0.00
DOS at the Fermi energy, states/eV per cell: 2.5
Calculated volume, Å³/cell: 73

Unit cell a=4.913 b=4.913 c=4.913 alpha=127.01 beta=127.01 gamma=78.23
Atoms (fractional coordinates):
Cu  0.250  0.750  0.500
Cu  0.750  0.250  0.500
Sb  0.000  0.000  0.000
Br  0.500  0.500  0.000


The structure with the least stability is Q.


P | Below is a PBEsol-optimized structure of CuSbBr, with properties calculated at the SCAN level.

Values from the calculation:
Total magnetization, μB per formula unit: 0.00
DOS at the Fermi energy, states/eV per cell: 1.0
Calculated volume, Å³/cell: 69

Unit cell a=7.195 b=6.793 c=3.462 alpha=82.24 beta=69.29 gamma=28.47
Atoms (fractional coordinates):
Cu  0.000  0.000  0.000
Sb  0.358  0.358  0.642
Br  0.621  0.621  0.379


Q | Below is a PBEsol-optimized structure of CuSbBr, with properties calculated at the SCAN level.

Values from the calculation:
Total magnetization, μB per formula unit: 0.00
DOS at the Fermi energy, states/eV per cell: 3.6
Calculated volume, Å³/cell: 69

Unit cell a=4.604 b=4.604 c=4.604 alpha=60.00 beta=60.00 gamma=60.00
Atoms (fractional coordinates):
Cu  0.000  0.000  0.000
Sb  0.250  0.250  0.250
Br  0.750  0.750  0.750


The structure with the least stability is Q.


P | Below is a PBEsol-optimized structure of CuSbBr2, with properties calculated at the SCAN level.

Values from the calculation:
Total magnetization, μB per formula unit: 0.00
DOS at the Fermi energy, states/eV per cell: 2.3
Calculated volume, Å³/cell: 88

Unit cell a=5.054 b=5.054 c=3.446 alpha=90.00 beta=90.00 gamma=90.57
Atoms (fractional coordinates):
Cu  0.000  0.000  0.000
Sb  0.500  0.500  0.000
Br  0.000  0.500  0.500
Br  0.500  0.000  0.500


Q | Below is a PBEsol-optimized structure of CuSbBr2, with properties calculated at the SCAN level.

Values from the calculation:
Total magnetization, μB per formula unit: 0.00
DOS at the Fermi energy, states/eV per cell: 0.7
Calculated volume, Å³/cell: 91

Unit cell a=3.368 b=3.368 c=7.989 alpha=90.00 beta=90.00 gamma=90.00
Atoms (fractional coordinates):
Cu  0.000  0.000  0.000
Sb  0.500  0.500  0.195
Br  0.000  0.000  0.452
Br  0.500  0.500  0.825


The structure with the least stability is P.


P | Below is a PBEsol-optimized structure of CuSe2Br, with properties calculated at the SCAN level.

Values from the calculation:
Total magnetization, μB per formula unit: 0.00
Calculated volume, Å³/cell: 395

Unit cell a=7.779 b=4.750 c=11.803 alpha=90.00 beta=115.22 gamma=90.00
Atoms (fractional coordinates):
Cu  0.185  0.135  0.249
Cu  0.185  0.365  0.749
Cu  0.815  0.635  0.251
Cu  0.815  0.865  0.751
Se  0.300  0.024  0.654
Se  0.300  0.476  0.154
Se  0.420  0.708  0.842
Se  0.420  0.792  0.342
Se  0.580  0.208  0.658
Se  0.580  0.292  0.158
Se  0.700  0.524  0.846
Se  0.700  0.976  0.346
Br  0.094  0.117  0.892
Br  0.094  0.383  0.392
Br  0.906  0.617  0.608
Br  0.906  0.883  0.108


Q | Below is a PBEsol-optimized structure of CuSe2Br, with properties calculated at the SCAN level.

Values from the calculation:
Total magnetization, μB per formula unit: 0.00
DOS at the Fermi energy, states/eV per cell: 3.0
Calculated volume, Å³/cell: 79

Unit cell a=3.053 b=3.053 c=8.456 alpha=90.00 beta=90.00 gamma=90.00
Atoms (fractional coordinates):
Cu  0.000  0.000  0.000
Se  0.000  0.000  0.428
Se  0.500  0.500  0.180
Br  0.500  0.500  0.794


The structure with the least stability is Q.


P | Below is a PBEsol-optimized structure of CuSe2Br, with properties calculated at the SCAN level.

Values from the calculation:
Total magnetization, μB per formula unit: 0.00
DOS at the Fermi energy, states/eV per cell: 1.8
Calculated volume, Å³/cell: 91

Unit cell a=3.842 b=3.842 c=7.688 alpha=90.00 beta=90.00 gamma=126.36
Atoms (fractional coordinates):
Cu  0.000  0.000  0.000
Se  0.000  0.000  0.459
Se  0.500  0.500  0.222
Br  0.500  0.500  0.790


Q | Below is a PBEsol-optimized structure of CuSe2Br, with properties calculated at the SCAN level.

Values from the calculation:
Total magnetization, μB per formula unit: 0.00
DOS at the Fermi energy, states/eV per cell: 2.3
Calculated volume, Å³/cell: 81

Unit cell a=3.105 b=3.469 c=7.532 alpha=90.00 beta=90.00 gamma=90.00
Atoms (fractional coordinates):
Cu  0.000  0.000  0.000
Se  0.500  0.500  0.163
Se  0.500  0.500  0.837
Br  0.000  0.000  0.500


The structure with the least stability is Q.


P | Below is a PBEsol-optimized structure of CuSiBr, with properties calculated at the SCAN level.

Values from the calculation:
Total magnetization, μB per formula unit: 0.00
DOS at the Fermi energy, states/eV per cell: 0.8
Calculated volume, Å³/cell: 59

Unit cell a=5.892 b=5.892 c=5.892 alpha=147.31 beta=147.31 gamma=46.91
Atoms (fractional coordinates):
Cu  0.000  0.000  0.000
Si  0.447  0.447  0.000
Br  0.235  0.235  0.000


Q | Below is a PBEsol-optimized structure of CuSiBr, with properties calculated at the SCAN level.

Values from the calculation:
Total magnetization, μB per formula unit: 0.00
DOS at the Fermi energy, states/eV per cell: 1.1
Calculated volume, Å³/cell: 65

Unit cell a=4.506 b=4.506 c=4.506 alpha=60.00 beta=60.00 gamma=60.00
Atoms (fractional coordinates):
Cu  0.000  0.000  0.000
Si  0.500  0.500  0.500
Br  0.750  0.750  0.750


The structure with the least stability is Q.


P | Below is a PBEsol-optimized structure of CuSi2Br, with properties calculated at the SCAN level.

Values from the calculation:
Total magnetization, μB per formula unit: 0.00
DOS at the Fermi energy, states/eV per cell: 2.0
Calculated volume, Å³/cell: 66

Unit cell a=4.539 b=4.539 c=4.539 alpha=60.00 beta=60.00 gamma=60.00
Atoms (fractional coordinates):
Cu  0.000  0.000  0.000
Si  0.250  0.250  0.250
Si  0.750  0.750  0.750
Br  0.500  0.500  0.500


Q | Below is a PBEsol-optimized structure of CuSi2Br, with properties calculated at the SCAN level.

Values from the calculation:
Total magnetization, μB per formula unit: 0.00
DOS at the Fermi energy, states/eV per cell: 2.3
Calculated volume, Å³/cell: 68

Unit cell a=5.300 b=5.300 c=2.931 alpha=90.00 beta=90.00 gamma=124.03
Atoms (fractional coordinates):
Cu  0.000  0.000  0.000
Si  0.000  0.500  0.500
Si  0.500  0.000  0.500
Br  0.500  0.500  0.000


The structure with the least stability is P.


P | Below is a PBEsol-optimized structure of SrCuBr2, with properties calculated at the SCAN level.

Values from the calculation:
Total magnetization, μB per formula unit: 0.00
DOS at the Fermi energy, states/eV per cell: 1.6
Calculated volume, Å³/cell: 100

Unit cell a=4.335 b=4.132 c=5.945 alpha=90.00 beta=110.63 gamma=90.00
Atoms (fractional coordinates):
Sr  0.000  0.000  0.000
Cu  0.953  0.500  0.592
Br  0.303  0.000  0.596
Br  0.580  0.500  0.159


Q | Below is a PBEsol-optimized structure of SrCuBr2, with properties calculated at the SCAN level.

Values from the calculation:
Total magnetization, μB per formula unit: 0.00
DOS at the Fermi energy, states/eV per cell: 1.1
Calculated volume, Å³/cell: 93

Unit cell a=4.864 b=4.864 c=3.924 alpha=90.13 beta=90.13 gamma=90.01
Atoms (fractional coordinates):
Sr  0.000  0.000  0.000
Cu  0.500  0.500  0.000
Br  0.000  0.500  0.500
Br  0.500  0.000  0.500


The structure with the least stability is Q.


P | Below is a PBEsol-optimized structure of TaCuBr, with properties calculated at the SCAN level.

Values from the calculation:
Total magnetization, μB per formula unit: 0.00
DOS at the Fermi energy, states/eV per cell: 2.1
Calculated volume, Å³/cell: 50

Unit cell a=4.402 b=4.402 c=2.991 alpha=90.00 beta=90.00 gamma=120.00
Atoms (fractional coordinates):
Ta  0.000  0.000  0.000
Cu  0.667  0.333  0.500
Br  0.333  0.667  0.000


Q | Below is a PBEsol-optimized structure of TaCuBr, with properties calculated at the SCAN level.

Values from the calculation:
Total magnetization, μB per formula unit: 0.00
DOS at the Fermi energy, states/eV per cell: 2.5
Calculated volume, Å³/cell: 54

Unit cell a=3.098 b=3.098 c=6.445 alpha=90.00 beta=90.00 gamma=120.00
Atoms (fractional coordinates):
Ta  0.000  0.000  0.000
Cu  0.667  0.333  0.303
Br  0.333  0.667  0.698


The structure with the least stability is P.


P | Below is a PBEsol-optimized structure of Tl2CuBr, with properties calculated at the SCAN level.

Values from the calculation:
Total magnetization, μB per formula unit: 0.00
DOS at the Fermi energy, states/eV per cell: 0.4
Calculated volume, Å³/cell: 101

Unit cell a=5.223 b=5.223 c=5.223 alpha=60.00 beta=60.00 gamma=60.00
Atoms (fractional coordinates):
Tl  0.000  0.000  0.000
Tl  0.250  0.250  0.250
Cu  0.500  0.500  0.500
Br  0.750  0.750  0.750


Q | Below is a PBEsol-optimized structure of Tl2CuBr, with properties calculated at the SCAN level.

Values from the calculation:
Total magnetization, μB per formula unit: 0.00
DOS at the Fermi energy, states/eV per cell: 1.7
Calculated volume, Å³/cell: 98

Unit cell a=3.481 b=3.481 c=8.630 alpha=90.00 beta=90.00 gamma=111.20
Atoms (fractional coordinates):
Tl  0.000  0.000  0.000
Tl  0.500  0.500  0.302
Cu  0.000  0.000  0.516
Br  0.500  0.500  0.686


R | Below is a PBEsol-optimized structure of Tl2CuBr, with properties calculated at the SCAN level.

Values from the calculation:
Total magnetization, μB per formula unit: 0.00
DOS at the Fermi energy, states/eV per cell: 0.9
Calculated volume, Å³/cell: 108

Unit cell a=3.804 b=3.804 c=7.465 alpha=90.00 beta=90.00 gamma=90.00
Atoms (fractional coordinates):
Tl  0.000  0.000  0.000
Tl  0.500  0.500  0.378
Cu  0.500  0.500  0.018
Br  0.000  0.000  0.591


The structure with the least stability is P.